Material: BaPmSm2
Method: DFT, GGA-PBE
State: optimized geometry

Results
* space group: P4/mmm, No. 123
* polymorph energy (0 for the lowest one): 0.0000 eV/atom
* energy relative to the elements: 0.125 eV per atom
* crystal system: tetragonal
* calculated total energy: -3.903 eV/atom

```
4
Lattice="-3.7043 -0.6478 0.0206 0.0849 -0.3664 3.7417 -1.8755 10.7604 1.0961" Properties=species:S:1:pos:R:3 pbc="T T T"
Pm -1.8097 -0.5071 1.8812
Sm -0.4125 2.3669 0.2411
Sm -1.4630 8.3935 0.8550
Ba -2.7475 4.8731 2.4292
```